Entry 1:
Computed, not measured: a relaxed structure of Hf8Al2Ge at the PBE level of DFT.

Computed properties:
Total magnetization in μB per cell: 0.00
Space-group type: C2/m, No. 12
Density of states at the Fermi level in states/eV per cell: 11.92

a = 7.550 Å, b = 7.550 Å, c = 5.395 Å
α = 106.61°, β = 106.61°, γ = 115.81°
Fractional positions:
Hf 0.094 0.324 0.569
Hf 0.221 0.779 0.000
Hf 0.324 0.094 0.569
Hf 0.388 0.388 0.170
Hf 0.612 0.612 0.830
Hf 0.676 0.906 0.431
Hf 0.779 0.221 0.000
Hf 0.906 0.676 0.431
Al 0.303 0.697 0.500
Al 0.697 0.303 0.500
Ge 0.000 0.000 0.000

Entry 2:
Computed, not measured: a relaxed structure of RbCaTeSe2 at the PBE level of DFT.

Computed properties:
Total magnetization in μB per cell: 0.00
Space-group type: P2/c, No. 13
Density of states at the Fermi level in states/eV per cell: 8.10

a = 8.149 Å, b = 5.953 Å, c = 7.365 Å
α = 90.00°, β = 105.57°, γ = 90.00°
Fractional positions:
Rb 0.000 0.190 0.250
Rb 0.000 0.810 0.750
Ca 0.500 0.487 0.750
Ca 0.500 0.513 0.250
Te 0.500 0.000 0.000
Te 0.500 0.000 0.500
Se 0.244 0.326 0.929
Se 0.244 0.674 0.429
Se 0.756 0.326 0.571
Se 0.756 0.674 0.071

It is found that the E_tot values, taken in the order of the records, are -8.403, -3.676 eV/atom.